No. 1
# NdInGa | Alexandria | PBE | optimized geometry
data_NdInGa
_space_group_name_H-M_alt 'F d d d'
_space_group_IT_number 70
_cell_length_a 8.4844
_cell_length_b 10.9265
_cell_length_c 13.7986
_cell_angle_alpha 90.00
_cell_angle_beta 90.00
_cell_angle_gamma 90.00
loop_
_space_group_symop_operation_xyz
'x,y,z'
'-x,-y,-z'
'-x+1/4,-y+1/4,z'
'x+1/4,y+1/4,-z'
'x,-y+1/4,-z+1/4'
'-x,y+1/4,z+1/4'
'-x+1/4,y,-z+1/4'
'x+1/4,-y,z+1/4'
'x,y+1/2,z+1/2'
'-x,-y+1/2,-z+1/2'
'-x+1/4,-y+3/4,z+1/2'
'x+1/4,y+3/4,-z+1/2'
'x,-y+3/4,-z+3/4'
'-x,y+3/4,z+3/4'
'-x+1/4,y+1/2,-z+3/4'
'x+1/4,-y+1/2,z+3/4'
'x+1/2,y,z+1/2'
'-x+1/2,-y,-z+1/2'
'-x+3/4,-y+1/4,z+1/2'
'x+3/4,y+1/4,-z+1/2'
'x+1/2,-y+1/4,-z+3/4'
'-x+1/2,y+1/4,z+3/4'
'-x+3/4,y,-z+3/4'
'x+3/4,-y,z+3/4'
'x+1/2,y+1/2,z'
'-x+1/2,-y+1/2,-z'
'-x+3/4,-y+3/4,z'
'x+3/4,y+3/4,-z'
'x+1/2,-y+3/4,-z+1/4'
'-x+1/2,y+3/4,z+1/4'
'-x+3/4,y+1/2,-z+1/4'
'x+3/4,-y+1/2,z+1/4'
loop_
_atom_site_label
_atom_site_type_symbol
_atom_site_fract_x
_atom_site_fract_y
_atom_site_fract_z
Nd1 Nd 0.0000 0.0000 0.0000
In1 In 0.1250 0.2578 0.6250
Ga1 Ga 0.1250 0.1250 0.4508
# DFT formation energy (meV per atom): -241
# Total magnetization (μB per formula unit): 0.0
# Total DFT energy (no corrections) (eV per atom): -3.752
# Crystal system: orthorhombic

---

No. 2
# Ca4CuSi | Alexandria | PBE | optimized geometry
data_Ca4CuSi
_space_group_name_H-M_alt 'F -4 3 m'
_space_group_IT_number 216
_space_group_name_Hall 'F -4 2 3'
_cell_length_a 9.0745
_cell_length_b 9.0745
_cell_length_c 9.0745
_cell_angle_alpha 90.00
_cell_angle_beta 90.00
_cell_angle_gamma 90.00
loop_
_atom_site_label
_atom_site_type_symbol
_atom_site_fract_x
_atom_site_fract_y
_atom_site_fract_z
Ca1 Ca 0.1243 0.1243 0.3757
Cu1 Cu 0.0000 0.0000 0.0000
Si1 Si 0.2500 0.2500 0.7500
# Formation energy without anion corrections (meV per atom): 663
# Total magnetization (μB per formula unit): 0.0
# Total DFT energy (no corrections) (eV per atom): -2.258
# Crystal system: cubic

---

No. 3
# TmHfMgRh | Alexandria | PBE | optimized geometry
data_TmHfMgRh
_space_group_name_H-M_alt 'F -4 3 m'
_space_group_IT_number 216
_space_group_name_Hall 'F -4 2 3'
_cell_length_a 6.8729
_cell_length_b 6.8729
_cell_length_c 6.8729
_cell_angle_alpha 90.00
_cell_angle_beta 90.00
_cell_angle_gamma 90.00
loop_
_atom_site_label
_atom_site_type_symbol
_atom_site_fract_x
_atom_site_fract_y
_atom_site_fract_z
Tm1 Tm 0.0000 0.0000 0.0000
Hf1 Hf 0.0000 0.0000 0.5000
Mg1 Mg 0.2500 0.2500 0.7500
Rh1 Rh 0.2500 0.2500 0.2500
# DFT formation energy (meV per atom): -300
# Total magnetization (μB per formula unit): 0.0
# Total DFT energy (no corrections) (eV per atom): -6.142
# Crystal system: cubic

---

No. 4
# SrCu4Ge2 | Alexandria | PBE | optimized geometry
data_SrCu4Ge2
_space_group_name_H-M_alt 'C m m m'
_space_group_IT_number 65
_space_group_name_Hall '-C 2 2'
_cell_length_a 4.2329
_cell_length_b 13.2337
_cell_length_c 4.2686
_cell_angle_alpha 90.00
_cell_angle_beta 90.00
_cell_angle_gamma 90.00
loop_
_atom_site_label
_atom_site_type_symbol
_atom_site_fract_x
_atom_site_fract_y
_atom_site_fract_z
Sr1 Sr 0.0000 0.0000 0.0000
Cu1 Cu 0.0000 0.1949 0.5000
Cu2 Cu 0.0000 0.3053 0.0000
Ge1 Ge 0.0000 0.3984 0.5000
# DFT formation energy (meV per atom): -213
# Energy relative to the lowest polymorph listed for this composition (meV/atom): 0
# Total magnetization (μB per formula unit): 0.0
# Total DFT energy (no corrections) (eV per atom): -4.113
# Crystal system: orthorhombic

---

No. 5
# Pr2Hg3Pd4 | Alexandria | PBE | optimized geometry
data_Pr2Hg3Pd4
_space_group_name_H-M_alt 'P -1'
_space_group_IT_number 2
_space_group_name_Hall '-P 1'
_cell_length_a 4.8904
_cell_length_b 4.8956
_cell_length_c 9.1844
_cell_angle_alpha 83.41
_cell_angle_beta 83.50
_cell_angle_gamma 61.95
loop_
_atom_site_label
_atom_site_type_symbol
_atom_site_fract_x
_atom_site_fract_y
_atom_site_fract_z
Pr1 Pr 0.1521 0.1543 0.2263
Hg1 Hg 0.2013 0.2002 0.5878
Hg2 Hg 0.5000 0.5000 0.0000
Pd1 Pd 0.1678 0.1655 0.9059
Pd2 Pd 0.4728 0.4748 0.3486
# DFT formation energy (meV per atom): -537
# Energy relative to the lowest polymorph listed for this composition (meV/atom): 0
# Total magnetization (μB per formula unit): 0.0
# Total DFT energy (no corrections) (eV per atom): -4.007
# Crystal system: triclinic

---

No. 6
# Tb8Pm2Cd | Alexandria | PBE | optimized geometry
data_Tb8Pm2Cd
_space_group_name_H-M_alt 'C 1 2/m 1'
_space_group_IT_number 12
_space_group_name_Hall '-C 2y'
_cell_length_a 18.0388
_cell_length_b 5.0068
_cell_length_c 7.9138
_cell_angle_alpha 90.00
_cell_angle_beta 105.55
_cell_angle_gamma 90.00
loop_
_atom_site_label
_atom_site_type_symbol
_atom_site_fract_x
_atom_site_fract_y
_atom_site_fract_z
Tb1 Tb 0.0450 0.0000 0.2221
Tb2 Tb 0.0887 0.5000 0.9449
Tb3 Tb 0.1339 0.0000 0.6755
Tb4 Tb 0.1804 0.5000 0.4101
Pm1 Pm 0.2236 0.0000 0.1365
Cd1 Cd 0.0000 0.5000 0.5000
# DFT formation energy (meV per atom): -12
# Total magnetization (μB per formula unit): 0.0
# Total DFT energy (no corrections) (eV per atom): -4.326
# Crystal system: monoclinic

---

No. 7
# LiDy2ErRh4 | Alexandria | PBE | optimized geometry
data_LiDy2ErRh4
_space_group_name_H-M_alt 'R -3 m'
_space_group_IT_number 166
_space_group_name_Hall '-R 3 2"'
_cell_length_a 4.6988
_cell_length_b 4.6988
_cell_length_c 23.0402
_cell_angle_alpha 90.00
_cell_angle_beta 90.00
_cell_angle_gamma 120.00
loop_
_atom_site_label
_atom_site_type_symbol
_atom_site_fract_x
_atom_site_fract_y
_atom_site_fract_z
Li1 Li 0.0000 0.0000 0.0000
Dy1 Dy 0.0000 0.0000 0.2576
Er1 Er 0.0000 0.0000 0.5000
Rh1 Rh 0.0000 0.0000 0.1245
Rh2 Rh 0.0000 0.0000 0.3772
# DFT formation energy (meV per atom): -734
# Total magnetization (μB per formula unit): 0.0
# Total DFT energy (no corrections) (eV per atom): -6.370
# Crystal system: trigonal

---

No. 8
# CdPb2W | Alexandria | PBE | optimized geometry
data_CdPb2W
_space_group_name_H-M_alt 'C m m 2'
_space_group_IT_number 35
_space_group_name_Hall 'C 2 -2'
_cell_length_a 3.6165
_cell_length_b 4.9801
_cell_length_c 10.8986
_cell_angle_alpha 90.00
_cell_angle_beta 90.00
_cell_angle_gamma 90.00
loop_
_atom_site_label
_atom_site_type_symbol
_atom_site_fract_x
_atom_site_fract_y
_atom_site_fract_z
Cd1 Cd 0.0000 0.0000 0.0000
Pb1 Pb 0.0000 0.0000 0.5782
Pb2 Pb 0.0000 0.5000 0.2464
W1 W 0.0000 0.5000 0.7951
# DFT formation energy (meV per atom): 619
# Total magnetization (μB per formula unit): 0.0
# Total DFT energy (no corrections) (eV per atom): -4.702
# Crystal system: orthorhombic

---

No. 9
# TbSm12Ho2 | Alexandria | PBE | optimized geometry
data_TbSm12Ho2
_space_group_name_H-M_alt 'C m m e'
_space_group_IT_number 67
_space_group_name_Hall '-C 2a 2'
_cell_length_a 7.1426
_cell_length_b 11.4945
_cell_length_c 24.7828
_cell_angle_alpha 90.00
_cell_angle_beta 90.00
_cell_angle_gamma 90.00
loop_
_atom_site_label
_atom_site_type_symbol
_atom_site_fract_x
_atom_site_fract_y
_atom_site_fract_z
Tb1 Tb 0.0000 0.2500 0.0007
Sm1 Sm 0.0000 0.0016 0.9245
Sm2 Sm 0.0000 0.0232 0.4398
Sm3 Sm 0.2320 0.2500 0.5860
Sm4 Sm 0.2488 0.2500 0.1296
Sm5 Sm 0.2500 0.0000 0.1993
Sm6 Sm 0.2500 0.0000 0.3252
Ho1 Ho 0.0000 0.2500 0.2702
Ho2 Ho 0.0000 0.2500 0.7340
# DFT formation energy (meV per atom): 162
# Total magnetization (μB per formula unit): 0.0
# Total DFT energy (no corrections) (eV per atom): -4.532
# Crystal system: orthorhombic

---

No. 10
# Zn2NiRu | Alexandria | PBE | optimized geometry
data_Zn2NiRu
_space_group_name_H-M_alt 'R -3 m'
_space_group_IT_number 166
_space_group_name_Hall '-R 3 2"'
_cell_length_a 2.7096
_cell_length_b 2.7096
_cell_length_c 25.0108
_cell_angle_alpha 90.00
_cell_angle_beta 90.00
_cell_angle_gamma 120.00
loop_
_atom_site_label
_atom_site_type_symbol
_atom_site_fract_x
_atom_site_fract_y
_atom_site_fract_z
Zn1 Zn 0.0000 0.0000 0.2464
Ni1 Ni 0.0000 0.0000 0.5000
Ru1 Ru 0.0000 0.0000 0.0000
# DFT formation energy (meV per atom): -32
# Total magnetization (μB per formula unit): 0.0
# Total DFT energy (no corrections) (eV per atom): -4.433
# Crystal system: trigonal